Density functional theory data (PBE-GGA) for a relaxed TaAlCl2 crystal.

Lattice parameters (Å, degrees): 4.135 4.135 4.407 90.00 90.00 90.00
Sites, in units of the cell vectors:
Ta1 0.000 0.000 0.000
Al1 0.500 0.500 0.000
Cl1 0.000 0.500 0.500
Cl2 0.500 0.000 0.500

The magnetic moment comes out at 0.81 μB per cell. The value obtained for the uncorrected formation energy is 2.02 eV/f.u. The space group is No. 123. The energy comes out at -4.316 eV per atom.


Density functional theory data (PBE-GGA) for a relaxed Ta2AlCl crystal.

Lattice parameters (Å, degrees): 3.058 3.058 9.173 90.00 90.00 123.96
Sites, in units of the cell vectors:
Ta1 0.000 0.000 0.243
Ta2 0.000 0.000 0.757
Al1 0.500 0.500 0.500
Cl1 0.500 0.500 0.000

The magnetic moment comes out at 0.00 μB per cell. The value obtained for the uncorrected formation energy is 0.51 eV/f.u. The space group is No. 65. The energy comes out at -7.196 eV per atom.


Density functional theory data (PBE-GGA) for a relaxed Ta2AlCl crystal.

Lattice parameters (Å, degrees): 4.785 4.785 2.934 90.00 90.00 90.33
Sites, in units of the cell vectors:
Ta1 0.000 0.500 0.000
Ta2 0.500 0.000 0.000
Al1 0.000 0.000 0.500
Cl1 0.500 0.500 0.500

The magnetic moment comes out at 0.00 μB per cell. The value obtained for the uncorrected formation energy is 1.57 eV/f.u. The space group is No. 65. The energy comes out at -6.930 eV per atom.


Density functional theory data (PBE-GGA) for a relaxed TaAlCl2 crystal.

Lattice parameters (Å, degrees): 4.585 4.585 4.585 60.00 60.00 60.00
Sites, in units of the cell vectors:
Ta1 0.000 0.000 0.000
Al1 0.500 0.500 0.500
Cl1 0.250 0.250 0.250
Cl2 0.750 0.750 0.750

The magnetic moment comes out at 0.00 μB per cell. The value obtained for the uncorrected formation energy is 1.86 eV/f.u. The space group is No. 225. The energy comes out at -4.358 eV per atom.


Density functional theory data (PBE-GGA) for a relaxed TaAlCl crystal.

Lattice parameters (Å, degrees): 9.148 8.850 3.095 85.58 74.70 19.72
Sites, in units of the cell vectors:
Ta1 0.000 0.000 0.000
Al1 0.636 0.636 0.364
Cl1 0.386 0.386 0.614

The magnetic moment comes out at 0.00 μB per cell. The value obtained for the uncorrected formation energy is -0.13 eV/f.u. The space group is No. 42. The energy comes out at -5.857 eV per atom.


Density functional theory data (PBE-GGA) for a relaxed TaAl2Cl crystal.

Lattice parameters (Å, degrees): 5.860 5.860 5.860 102.76 102.76 123.93
Sites, in units of the cell vectors:
Ta1 0.000 0.000 0.000
Ta2 0.750 0.250 0.500
Al1 0.136 0.625 0.011
Al2 0.375 0.386 0.511
Al3 0.614 0.125 0.989
Al4 0.875 0.864 0.489
Cl1 0.250 0.750 0.500
Cl2 0.500 0.500 0.000

The magnetic moment comes out at 0.00 μB per cell. The value obtained for the uncorrected formation energy is 2.17 eV/f.u. The space group is No. 122. The energy comes out at -4.753 eV per atom.


Density functional theory data (PBE-GGA) for a relaxed TaAlCl2 crystal.

Lattice parameters (Å, degrees): 5.127 5.127 5.127 132.07 132.07 70.12
Sites, in units of the cell vectors:
Ta1 0.000 0.000 0.000
Al1 0.500 0.500 0.000
Cl1 0.250 0.750 0.500
Cl2 0.750 0.250 0.500

The magnetic moment comes out at 0.00 μB per cell. The value obtained for the uncorrected formation energy is 1.88 eV/f.u. The space group is No. 139. The energy comes out at -4.352 eV per atom.


Density functional theory data (PBE-GGA) for a relaxed TaAl2Cl crystal.

Lattice parameters (Å, degrees): 2.939 5.090 4.809 90.00 90.84 90.00
Sites, in units of the cell vectors:
Ta1 0.000 0.000 0.000
Al1 0.299 0.500 0.240
Al2 0.701 0.500 0.760
Cl1 0.000 0.000 0.500

The magnetic moment comes out at 0.00 μB per cell. The value obtained for the uncorrected formation energy is 0.38 eV/f.u. The space group is No. 10. The energy comes out at -5.201 eV per atom.